## PrTmSc (PBE)

Data for a relaxed structure of PrTmSc.

The structure in POSCAR format:
```
PrTmSc
1.0
7.475 0.000 0.000
0.000 7.475 0.000
0.000 0.000 7.475
Pr Tm Sc
4 4 4
direct
0.000 0.000 0.000 Pr
0.000 0.500 0.500 Pr
0.500 0.000 0.500 Pr
0.500 0.500 0.000 Pr
0.000 0.000 0.500 Tm
0.000 0.500 0.000 Tm
0.500 0.000 0.000 Tm
0.500 0.500 0.500 Tm
0.250 0.250 0.250 Sc
0.250 0.750 0.750 Sc
0.750 0.250 0.750 Sc
0.750 0.750 0.250 Sc
```

energy above the most stable polymorph in this dataset: 0 meV/atom
ΔE_f: 0.682 eV per atom
symmetry: F-43m, No. 216

## LaDy2TmGa4 (PBE)

Data for a relaxed structure of LaDy2TmGa4.

The structure in POSCAR format:
```
LaDy2TmGa4
1.0
6.728 0.000 0.000
0.000 4.445 0.000
0.000 0.000 13.158
La Dy Tm Ga
2 4 2 8
direct
0.000 0.000 0.000 La
0.000 0.500 0.500 La
0.000 0.000 0.722 Dy
0.000 0.500 0.222 Dy
0.500 0.000 0.168 Dy
0.500 0.500 0.668 Dy
0.500 0.000 0.892 Tm
0.500 0.500 0.392 Tm
0.199 0.000 0.344 Ga
0.199 0.500 0.844 Ga
0.311 0.000 0.543 Ga
0.311 0.500 0.043 Ga
0.689 0.000 0.543 Ga
0.689 0.500 0.043 Ga
0.801 0.000 0.344 Ga
0.801 0.500 0.844 Ga
```

electronic total energy: -71.10 eV/cell
symmetry: Amm2, No. 38

Copy entry 2 word for word.
## LaDy2TmGa4 (PBE)

Data for a relaxed structure of LaDy2TmGa4.

The structure in POSCAR format:
```
LaDy2TmGa4
1.0
6.728 0.000 0.000
0.000 4.445 0.000
0.000 0.000 13.158
La Dy Tm Ga
2 4 2 8
direct
0.000 0.000 0.000 La
0.000 0.500 0.500 La
0.000 0.000 0.722 Dy
0.000 0.500 0.222 Dy
0.500 0.000 0.168 Dy
0.500 0.500 0.668 Dy
0.500 0.000 0.892 Tm
0.500 0.500 0.392 Tm
0.199 0.000 0.344 Ga
0.199 0.500 0.844 Ga
0.311 0.000 0.543 Ga
0.311 0.500 0.043 Ga
0.689 0.000 0.543 Ga
0.689 0.500 0.043 Ga
0.801 0.000 0.344 Ga
0.801 0.500 0.844 Ga
```

electronic total energy: -71.10 eV/cell
symmetry: Amm2, No. 38